{
  "formula": "HoTmIr",
  "functional": "PBE-GGA",
  "state": "relaxed",
  "cell": [[-1.2137, -5.8416, 3.9333], [4.1593, -1.5808, -1.0642], [3.3000, 3.9990, 6.9575]],
  "species": ["Ho", "Ho", "Ho", "Ho", "Ir", "Ir", "Ir", "Ir", "Tm", "Tm", "Tm", "Tm"],
  "frac_coords": [[0.6426, 0.2500, 0.0808], [0.1426, 0.2500, 0.4192], [0.8574, 0.7500, 0.5808], [0.3574, 0.7500, 0.9192], [0.2418, 0.2500, 0.0938], [0.7418, 0.2500, 0.4062], [0.2582, 0.7500, 0.5938], [0.7582, 0.7500, 0.9062], [0.9906, 0.7500, 0.1622], [0.4906, 0.7500, 0.3378], [0.5094, 0.2500, 0.6622], [0.0094, 0.2500, 0.8378]],
  "delta_e_f_ev_per_atom": -0.759,
  "e_tot_ev_per_atom": -6.73,
  "m_tot_mub_per_cell": 0.008,
  "space_group": "Pnma (62)"
}

***

{
  "formula": "HoTmIr",
  "functional": "PBE-GGA",
  "state": "relaxed",
  "cell": [[7.1671, 0.0000, 0.0000], [0.0000, 4.5552, 0.0000], [0.0000, 0.0000, 8.6886]],
  "species": ["Ho", "Ho", "Ho", "Ho", "Ir", "Ir", "Ir", "Ir", "Tm", "Tm", "Tm", "Tm"],
  "frac_coords": [[0.4903, 0.2500, 0.1638], [0.9903, 0.2500, 0.3362], [0.0097, 0.7500, 0.6638], [0.5097, 0.7500, 0.8362], [0.7452, 0.7500, 0.0940], [0.2452, 0.7500, 0.4060], [0.7548, 0.2500, 0.5940], [0.2548, 0.2500, 0.9060], [0.1417, 0.7500, 0.0793], [0.6417, 0.7500, 0.4207], [0.3583, 0.2500, 0.5793], [0.8583, 0.2500, 0.9207]],
  "delta_e_f_ev_per_atom": -0.776,
  "e_tot_ev_per_atom": -6.74,
  "m_tot_mub_per_cell": 0.016,
  "space_group": "Pnma (62)"
}